1.
# BeTcRuCCl PBE relaxed
# E above lowest polymorph	0.44	eV per formula unit
# DOS at the Fermi energy	1.55	states/eV per cell
# magnetization	0.000	Bohr magnetons per cell
data_BeTcRuCCl
_chemical_formula_sum 'Be2 Tc2 Ru2 C2 Cl2'
_symmetry_space_group_name_H-M 'P 1'
_symmetry_Int_Tables_number 1
_cell_length_a 3.375
_cell_length_b 3.077
_cell_length_c 13.361
_cell_angle_alpha 90.00
_cell_angle_beta 101.31
_cell_angle_gamma 90.00
loop_
_symmetry_equiv_pos_as_xyz
'x,y,z'
loop_
_atom_site_label
_atom_site_fract_x
_atom_site_fract_y
_atom_site_fract_z
Ru1 0.471 0.000 0.139
Ru2 0.471 0.500 0.639
C1 0.899 0.000 0.046
C2 0.899 0.500 0.546
Tc1 0.143 0.000 0.474
Tc2 0.143 0.500 0.974
Be1 0.933 0.000 0.623
Be2 0.933 0.500 0.123
Cl1 0.577 0.000 0.326
Cl2 0.577 0.500 0.826

2.
# Zr3TiPt12 PBE relaxed
# energy relative to the elements	-986	meV per atom
# DOS at the Fermi energy	1.67	states/eV per cell
# magnetization	0.000	Bohr magnetons per cell
data_Zr3TiPt12
_chemical_formula_sum 'Zr3 Ti1 Pt12'
_symmetry_space_group_name_H-M 'P 1'
_symmetry_Int_Tables_number 1
_cell_length_a 4.031
_cell_length_b 4.031
_cell_length_c 16.081
_cell_angle_alpha 90.00
_cell_angle_beta 90.00
_cell_angle_gamma 90.00
loop_
_symmetry_equiv_pos_as_xyz
'x,y,z'
loop_
_atom_site_label
_atom_site_fract_x
_atom_site_fract_y
_atom_site_fract_z
Zr1 0.000 0.000 0.247
Zr2 0.000 0.000 0.500
Zr3 0.000 0.000 0.753
Ti1 0.000 0.000 0.000
Pt1 0.500 0.500 0.000
Pt2 0.500 0.500 0.247
Pt3 0.500 0.500 0.500
Pt4 0.500 0.500 0.753
Pt5 0.500 0.000 0.120
Pt6 0.500 0.000 0.373
Pt7 0.500 0.000 0.627
Pt8 0.500 0.000 0.880
Pt9 0.000 0.500 0.120
Pt10 0.000 0.500 0.373
Pt11 0.000 0.500 0.627
Pt12 0.000 0.500 0.880

3.
# Na2HgTeN PBE relaxed
# DOS at the Fermi energy	3.18	states/eV per cell
# VASP energy	-10.19	eV per cell
# magnetization	2.375	Bohr magnetons per cell
data_Na2HgTeN
_chemical_formula_sum 'Na2 Hg1 Te1 N1'
_symmetry_space_group_name_H-M 'P 1'
_symmetry_Int_Tables_number 1
_cell_length_a 5.959
_cell_length_b 5.574
_cell_length_c 5.959
_cell_angle_alpha 90.00
_cell_angle_beta 90.00
_cell_angle_gamma 90.00
loop_
_symmetry_equiv_pos_as_xyz
'x,y,z'
loop_
_atom_site_label
_atom_site_fract_x
_atom_site_fract_y
_atom_site_fract_z
Na1 0.000 0.000 0.500
Na2 0.500 0.000 0.000
Te1 0.000 0.500 0.000
Hg1 0.000 0.000 0.000
N1 0.500 0.500 0.500